(1)
Sr6PtRh2I3: relaxed, GGA-PBE.

Calculated values
Formation energy (no corrections) = -0.8685 eV/atom
Crystal system = monoclinic
Space-group type = C2/m, No. 12

Structure (POSCAR):
```
Sr6PtRh2I3
1.0
3.827 -6.635 0.000
3.827 6.635 0.000
-2.559 0.000 8.153
Sr Pt Rh I
6 1 2 3
Cartesian
-0.035 2.261 6.548
1.217 0.000 1.599
-0.035 -2.261 6.548
5.130 2.261 1.605
3.877 0.000 6.553
5.130 -2.261 1.605
3.827 0.000 0.000
3.827 4.420 0.000
3.827 -4.420 0.000
-1.280 0.000 4.076
2.547 2.189 4.076
2.547 -2.189 4.076
```

(2)
K4TcPt: relaxed, GGA-PBE.

Calculated values
Crystal system = cubic
Space-group type = F-43m, No. 216
Formation energy from the elements = 1239 meV per atom

Structure (POSCAR):
```
K4TcPt
1.0
0.000 4.620 4.620
4.620 0.000 4.620
4.620 4.620 0.000
K Tc Pt
4 1 1
Cartesian
1.141 1.141 1.141
3.479 3.479 1.141
3.479 1.141 3.479
1.141 3.479 3.479
4.620 4.620 4.620
6.929 6.929 6.929
```

(3)
Te2MoPdI: relaxed, GGA-PBE.

Calculated values
Formation energy (no corrections) = 0.8941 eV/atom
Crystal system = tetragonal
Space-group type = P4/mmm, No. 123
Excess energy over the best structure of this formula in the dataset = 0.1862 eV per atom

Structure (POSCAR):
```
Te2MoPdI
1.0
5.311 0.000 0.000
0.000 5.311 0.000
0.000 0.000 5.388
Te Mo Pd I
2 1 1 1
Cartesian
0.000 2.656 0.000
2.656 0.000 0.000
0.000 0.000 2.694
2.656 2.656 0.000
2.656 2.656 2.694
```

(4)
VAgSb: relaxed, GGA-PBE.

Calculated values
Formation energy (no corrections) = 0.0108 eV/atom
Crystal system = tetragonal
Space-group type = P4/nmm, No. 129
Excess energy over the best structure of this formula in the dataset = 0.0000 eV per atom

Structure (POSCAR):
```
VAgSb
1.0
3.207 0.000 0.000
0.000 3.207 0.000
0.000 0.000 12.016
V Ag Sb
2 2 2
Cartesian
0.802 0.802 0.607
2.405 2.405 11.409
0.802 0.802 6.890
2.405 2.405 5.126
0.802 0.802 9.725
2.405 2.405 2.291
```